(1)
Material: Ti3TcB
Method: DFT, PBE
State: relaxed

Summary:
Its magnetization is 0.00 μB/f.u. The offset from the most stable computed form comes out at 0 meV per atom. The formation energy is -0.03 eV/atom.

Lattice parameters (Å, degrees): 4.225 4.225 4.225 90.00 90.00 90.00
Sites, in units of the cell vectors:
Ti  0.000  0.000  0.500
Ti  0.000  0.500  0.000
Ti  0.500  0.000  0.000
Tc  0.500  0.500  0.500
B  0.000  0.000  0.000


(2)
Material: InIrI2N
Method: DFT, PBE
State: relaxed

Summary:
Its magnetization is 3.21 μB/f.u. The offset from the most stable computed form comes out at 1348 meV per atom. The uncorrected formation energy is 1546 meV/atom.

Lattice parameters (Å, degrees): 5.942 5.942 3.951 90.00 90.00 90.00
Sites, in units of the cell vectors:
In  0.000  0.000  0.000
Ir  0.500  0.500  0.500
I  0.000  0.500  0.000
I  0.500  0.000  0.000
N  0.000  0.000  0.500


Number 1: N(E_F) 3.8 states/eV/f.u.. Number 2: N(E_F) 6.1 states/eV/f.u..